Entry from Alexandria via LeMat-Bulk: an optimized crystal structure of CuGeRh2 (GGA-PBE).

Output
Calculated formation energy (eV/atom): -0.287

Structure (CIF):
```
data_CuGeRh2
_cell_length_a 3.006
_cell_length_b 3.006
_cell_length_c 6.067
_cell_angle_alpha 90.00
_cell_angle_beta 90.00
_cell_angle_gamma 90.00
_space_group_name_H-M_alt 'P 4/m m m'
_space_group_IT_number 123
_space_group_name_Hall '-P 4 2'
loop_
_atom_site_label
_atom_site_type_symbol
_atom_site_fract_x
_atom_site_fract_y
_atom_site_fract_z
Cu1 Cu 0.000 0.000 0.000
Ge1 Ge 0.000 0.000 0.500
Rh1 Rh 0.500 0.500 0.262
```

Entry from Alexandria via LeMat-Bulk: an optimized crystal structure of BeCuTc2 (GGA-PBE).

Output
Calculated formation energy (eV/atom): 0.257

Structure (CIF):
```
data_BeCuTc2
_cell_length_a 2.6586
_cell_length_b 2.6586
_cell_length_c 25.3056
_cell_angle_alpha 90.00
_cell_angle_beta 90.00
_cell_angle_gamma 120.00
_space_group_name_H-M_alt 'R -3 m'
_space_group_IT_number 166
_space_group_name_Hall '-R 3 2"'
loop_
_atom_site_label
_atom_site_type_symbol
_atom_site_fract_x
_atom_site_fract_y
_atom_site_fract_z
Be1 Be 0.0000 0.0000 0.0000
Cu1 Cu 0.0000 0.0000 0.5000
Tc1 Tc 0.0000 0.0000 0.2542
```